Entry 1:
The following is a PBE calculation of ThNp2Se4 after structural relaxation, from the Alexandria database.

Cell lengths 4.063, 13.513, 13.757 Å; angles 90.00, 90.00, 90.00 degrees
Space group Cmcm (No. 63)
Symmetry-distinct sites (fractional):
Th (0.000, 0.122, 0.250) (multiplicity 4)
Np (0.000, 0.366, 0.064) (multiplicity 8)
Se (0.000, 0.000, 0.000) (multiplicity 4)
Se (0.000, 0.273, 0.627) (multiplicity 8)
Se (0.000, 0.464, 0.250) (multiplicity 4)

---

Entry 2:
The following is a PBE calculation of ThNp2Se5 after structural relaxation, from the Alexandria database.

Cell lengths 12.397, 8.424, 7.820 Å; angles 90.00, 90.00, 90.00 degrees
Space group Pnma (No. 62)
Symmetry-distinct sites (fractional):
Th (0.009, 0.250, 0.083) (multiplicity 4)
Np (0.179, 0.001, 0.519) (multiplicity 8)
Se (0.001, 0.750, 0.533) (multiplicity 4)
Se (0.102, 0.548, 0.166) (multiplicity 8)
Se (0.187, 0.250, 0.826) (multiplicity 4)
Se (0.221, 0.750, 0.796) (multiplicity 4)

---

Entry 3:
The following is a PBE calculation of Th2Np2Se7 after structural relaxation, from the Alexandria database.

Cell lengths 4.905, 4.905, 13.743 Å; angles 90.00, 90.00, 90.00 degrees
Space group P-4m2 (No. 115)
Symmetry-distinct sites (fractional):
Th (0.000, 0.500, 0.138) (multiplicity 2)
Np (0.000, 0.500, 0.616) (multiplicity 2)
Se (0.000, 0.000, 0.239) (multiplicity 2)
Se (0.000, 0.000, 0.500) (multiplicity 1)
Se (0.500, 0.500, 0.000) (multiplicity 1)
Se (0.500, 0.500, 0.256) (multiplicity 2)
Se (0.500, 0.500, 0.500) (multiplicity 1)

---

Entry 4:
The following is a PBE calculation of ThNp2Tl3Se6 after structural relaxation, from the Alexandria database.

Cell lengths 7.361, 12.746, 8.195 Å; angles 90.00, 107.40, 90.00 degrees
Space group C2/m (No. 12)
Symmetry-distinct sites (fractional):
Th (0.000, 0.000, 0.000) (multiplicity 2)
Np (0.000, 0.334, 0.000) (multiplicity 4)
Tl (0.000, 0.168, 0.500) (multiplicity 4)
Tl (0.000, 0.500, 0.500) (multiplicity 2)
Se (0.235, 0.500, 0.207) (multiplicity 4)
Se (0.236, 0.167, 0.206) (multiplicity 8)

---

Entry 5:
The following is a PBE calculation of NpTiSe4 after structural relaxation, from the Alexandria database.

Cell lengths 7.765, 6.135, 7.516 Å; angles 90.00, 118.63, 90.00 degrees
Space group P2_1/c (No. 14)
Symmetry-distinct sites (fractional):
Np (0.000, 0.000, 0.000) (multiplicity 2)
Ti (0.500, 0.000, 0.500) (multiplicity 2)
Se (0.201, 0.236, 0.355) (multiplicity 4)
Se (0.349, 0.740, 0.684) (multiplicity 4)

---

Entry 6:
The following is a PBE calculation of NpTiSe4 after structural relaxation, from the Alexandria database.

Cell lengths 13.527, 3.835, 6.642 Å; angles 90.00, 98.83, 90.00 degrees
Space group C2/m (No. 12)
Symmetry-distinct sites (fractional):
Np (0.000, 0.000, 0.000) (multiplicity 2)
Ti (0.000, 0.500, 0.500) (multiplicity 2)
Se (0.112, 0.000, 0.386) (multiplicity 4)
Se (0.117, 0.500, 0.844) (multiplicity 4)

---

Entry 7:
The following is a PBE calculation of NpTiSe2 after structural relaxation, from the Alexandria database.

Cell lengths 3.9094, 3.9094, 18.9005 Å; angles 90.00, 90.00, 120.00 degrees
Space group R-3m (No. 166, hexagonal axes)
Symmetry-distinct sites (fractional):
Np (0.0000, 0.0000, 0.0000) (multiplicity 3)
Ti (0.0000, 0.0000, 0.5000) (multiplicity 3)
Se (0.0000, 0.0000, 0.2410) (multiplicity 6)

---

Entry 8:
The following is a PBE calculation of NpTi4Se8 after structural relaxation, from the Alexandria database.

Cell lengths 7.2684, 7.2684, 19.8288 Å; angles 90.00, 90.00, 120.00 degrees
Space group R-3m (No. 166, hexagonal axes)
Symmetry-distinct sites (fractional):
Np (0.0000, 0.0000, 0.0000) (multiplicity 3)
Ti (0.0000, 0.0000, 0.5000) (multiplicity 3)
Ti (0.0000, 0.5000, 0.5000) (multiplicity 9)
Se (0.0000, 0.0000, 0.2416) (multiplicity 6)
Se (0.0107, 0.5054, 0.2445) (multiplicity 18)

---

Entry 9:
The following is a PBE calculation of NpTi2Se4 after structural relaxation, from the Alexandria database.

Cell lengths 3.815, 12.316, 12.953 Å; angles 90.00, 90.00, 90.00 degrees
Space group Cmcm (No. 63)
Symmetry-distinct sites (fractional):
Np (0.000, 0.122, 0.250) (multiplicity 4)
Ti (0.000, 0.376, 0.065) (multiplicity 8)
Se (0.000, 0.000, 0.000) (multiplicity 4)
Se (0.000, 0.270, 0.612) (multiplicity 8)
Se (0.000, 0.444, 0.250) (multiplicity 4)

---

Entry 10:
The following is a PBE calculation of Np2TiSe6 after structural relaxation, from the Alexandria database.

Cell lengths 6.485, 6.485, 12.054 Å; angles 90.00, 90.00, 90.00 degrees
Space group P4_2/mnm (No. 136)
Symmetry-distinct sites (fractional):
Np (0.000, 0.000, 0.172) (multiplicity 4)
Ti (0.000, 0.000, 0.500) (multiplicity 2)
Se (0.193, 0.193, 0.350) (multiplicity 8)
Se (0.206, 0.206, 0.000) (multiplicity 4)

---

Entry 11:
The following is a PBE calculation of NpTiSe2 after structural relaxation, from the Alexandria database.

Cell lengths 3.7734, 3.7734, 20.4336 Å; angles 90.00, 90.00, 120.00 degrees
Space group R3m (No. 160, hexagonal axes)
Symmetry-distinct sites (fractional):
Np (0.0000, 0.0000, 0.0000) (multiplicity 3)
Ti (0.0000, 0.0000, 0.8259) (multiplicity 3)
Se (0.0000, 0.0000, 0.2358) (multiplicity 3)
Se (0.0000, 0.0000, 0.4244) (multiplicity 3)

---

Entry 12:
The following is a PBE calculation of NpTi4Se8 after structural relaxation, from the Alexandria database.

Cell lengths 10.891, 10.891, 10.891 Å; angles 90.00, 90.00, 90.00 degrees
Space group F-43m (No. 216)
Symmetry-distinct sites (fractional):
Np (0.000, 0.000, 0.000) (multiplicity 4)
Ti (0.109, 0.109, 0.391) (multiplicity 16)
Se (0.124, 0.124, 0.624) (multiplicity 16)
Se (0.144, 0.144, 0.144) (multiplicity 16)

---

Entry 13:
The following is a PBE calculation of Np3TiTl3Se8 after structural relaxation, from the Alexandria database.

Cell lengths 14.111, 8.160, 9.163 Å; angles 90.00, 120.67, 90.00 degrees
Space group C2/m (No. 12)
Symmetry-distinct sites (fractional):
Np (0.000, 0.000, 0.000) (multiplicity 2)
Np (0.250, 0.250, 0.000) (multiplicity 4)
Ti (0.000, 0.500, 0.000) (multiplicity 2)
Tl (0.000, 0.500, 0.500) (multiplicity 2)
Tl (0.250, 0.250, 0.500) (multiplicity 4)
Se (0.013, 0.268, 0.806) (multiplicity 8)
Se (0.220, 0.500, 0.193) (multiplicity 4)
Se (0.237, 0.000, 0.209) (multiplicity 4)

---

Entry 14:
The following is a PBE calculation of Np2TiTl3Se6 after structural relaxation, from the Alexandria database.

Cell lengths 7.018, 12.119, 8.184 Å; angles 90.00, 106.53, 90.00 degrees
Space group C2/m (No. 12)
Symmetry-distinct sites (fractional):
Np (0.000, 0.166, 0.000) (multiplicity 4)
Ti (0.000, 0.500, 0.000) (multiplicity 2)
Tl (0.000, 0.000, 0.500) (multiplicity 2)
Tl (0.000, 0.327, 0.500) (multiplicity 4)
Se (0.222, 0.343, 0.197) (multiplicity 8)
Se (0.245, 0.500, 0.796) (multiplicity 4)

---

Entry 15:
The following is a PBE calculation of NpTi2Tl3Se6 after structural relaxation, from the Alexandria database.

Cell lengths 6.758, 11.711, 8.194 Å; angles 90.00, 106.08, 90.00 degrees
Space group C2/m (No. 12)
Symmetry-distinct sites (fractional):
Np (0.000, 0.000, 0.000) (multiplicity 2)
Ti (0.000, 0.331, 0.000) (multiplicity 4)
Tl (0.000, 0.158, 0.500) (multiplicity 4)
Tl (0.000, 0.500, 0.500) (multiplicity 2)
Se (0.207, 0.500, 0.189) (multiplicity 4)
Se (0.243, 0.178, 0.195) (multiplicity 8)

---

Entry 16:
The following is a PBE calculation of Np2TiTl2Se6 after structural relaxation, from the Alexandria database.

Cell lengths 6.950, 11.940, 8.220 Å; angles 90.00, 107.03, 90.00 degrees
Space group C2/m (No. 12)
Symmetry-distinct sites (fractional):
Np (0.000, 0.167, 0.000) (multiplicity 4)
Ti (0.000, 0.500, 0.000) (multiplicity 2)
Tl (0.000, 0.327, 0.500) (multiplicity 4)
Se (0.226, 0.345, 0.198) (multiplicity 8)
Se (0.241, 0.500, 0.801) (multiplicity 4)

---

Entry 17:
The following is a PBE calculation of NpTl8Se6 after structural relaxation, from the Alexandria database.

Cell lengths 7.8150, 7.8150, 28.4826 Å; angles 90.00, 90.00, 120.00 degrees
Space group R-3 (No. 148, hexagonal axes)
Symmetry-distinct sites (fractional):
Np (0.0000, 0.0000, 0.0000) (multiplicity 3)
Tl (0.0000, 0.0000, 0.3321) (multiplicity 6)
Tl (0.0063, 0.3268, 0.2156) (multiplicity 18)
Se (0.0085, 0.2980, 0.0601) (multiplicity 18)

---

Entry 18:
The following is a PBE calculation of NpTl4Se5 after structural relaxation, from the Alexandria database.

Cell lengths 10.088, 10.088, 6.090 Å; angles 90.00, 90.00, 90.00 degrees
Space group I4 (No. 79)
Symmetry-distinct sites (fractional):
Np (0.000, 0.000, 0.000) (multiplicity 2)
Tl (0.091, 0.689, 0.499) (multiplicity 8)
Se (0.000, 0.000, 0.498) (multiplicity 2)
Se (0.100, 0.755, 0.999) (multiplicity 8)

---

Entry 19:
The following is a PBE calculation of NpTl3Se4 after structural relaxation, from the Alexandria database.

Cell lengths 6.074, 6.074, 13.024 Å; angles 90.00, 90.00, 90.00 degrees
Space group I4/mmm (No. 139)
Symmetry-distinct sites (fractional):
Np (0.000, 0.000, 0.000) (multiplicity 2)
Tl (0.000, 0.000, 0.500) (multiplicity 2)
Tl (0.000, 0.500, 0.250) (multiplicity 4)
Se (0.000, 0.000, 0.214) (multiplicity 4)
Se (0.000, 0.500, 0.000) (multiplicity 4)

---

Entry 20:
The following is a PBE calculation of Np4TlSe6 after structural relaxation, from the Alexandria database.

Cell lengths 7.818, 7.818, 10.229 Å; angles 90.00, 90.00, 90.00 degrees
Space group I-42m (No. 121)
Symmetry-distinct sites (fractional):
Np (0.202, 0.202, 0.407) (multiplicity 8)
Tl (0.000, 0.000, 0.000) (multiplicity 2)
Se (0.000, 0.500, 0.000) (multiplicity 4)
Se (0.148, 0.148, 0.686) (multiplicity 8)

---

no.,formation energy without anion corrections (kJ/mol of atoms),theoretical density (g/cm³)
1,-122.63,9.0
2,-130.61,9.0
3,-121.08,7.5
4,-97.23,8.1
5,-89.59,6.3
6,-99.90,5.9
7,-94.36,8.8
8,-111.96,5.8
9,-102.23,7.1
10,-89.10,6.5
11,-93.35,8.8
12,-96.05,5.5
13,-88.26,7.3
14,-84.18,8.0
15,-82.49,7.6
16,-91.74,7.2
17,-51.64,7.8
18,-53.49,7.8
19,-52.64,8.1
20,-78.17,8.6